[1]
Here is crystalline NpTl2GaS5 at its relaxed geometry from the Alexandria database. Energies are from PBE.

magnetic moment	2.00	μB per formula unit
electronic total energy	-5.32	eV/atom
E_form (uncorrected)	-726	meV/atom
symmetry	Cmc2_1 (36)

a = 9.3059 Å, b = 9.3059 Å, c = 13.8373 Å
α = 90.00°, β = 90.00°, γ = 155.57°
With the nearest neighbours (Å) after each atom.
Sites, in units of the cell vectors:
Np  0.2017  0.7983  0.5000  6 S 2.46-2.74
Np  0.7983  0.2017  0.0000  6 S 2.46-2.74
Tl  0.1116  0.8884  0.1480  5 S 3.16-3.36
Tl  0.1229  0.8771  0.8016  4 S 3.05-3.27
Tl  0.8771  0.1229  0.3016  4 S 3.05-3.27
Tl  0.8884  0.1116  0.6480  5 S 3.16-3.36
Ga  0.4365  0.5635  0.8950  4 S 2.19-2.42
Ga  0.5635  0.4365  0.3950  4 S 2.19-2.42
S  0.0513  0.9487  0.4951  2 Ga 2.42
S  0.2954  0.7046  0.1226  2 Np 2.60
S  0.3087  0.6913  0.8673  1 Ga 2.36
S  0.3363  0.6637  0.4828  1 Np 2.46
S  0.4986  0.5014  0.7596  1 Ga 2.19
S  0.5014  0.4986  0.2596  1 Ga 2.19
S  0.6637  0.3363  0.9828  1 Np 2.46
S  0.6913  0.3087  0.3673  1 Ga 2.36
S  0.7046  0.2954  0.6226  2 Np 2.60
S  0.9487  0.0513  0.9951  2 Ga 2.42

***

[2]
Here is crystalline P2PbI at its relaxed geometry from the Alexandria database. Energies are from PBE.

magnetic moment	0.00	μB per formula unit
electronic total energy	-3.33	eV/atom
E_form (uncorrected)	692	meV/atom
symmetry	I-42d (122)

a = 7.2103 Å, b = 7.2103 Å, c = 9.5262 Å
α = 90.00°, β = 90.00°, γ = 90.00°
With the nearest neighbours (Å) after each atom.
Sites, in units of the cell vectors:
P  0.2280  0.2500  0.1250  2 Pb 2.71, 2 I 2.92
P  0.2500  0.7280  0.3750  2 Pb 2.71, 2 I 2.92
P  0.2500  0.7720  0.8750  2 Pb 2.71, 2 I 2.92
P  0.2720  0.2500  0.6250  2 Pb 2.71, 2 I 2.92
P  0.7280  0.7500  0.6250  2 Pb 2.71, 2 I 2.92
P  0.7500  0.2280  0.8750  2 Pb 2.71, 2 I 2.92
P  0.7500  0.2720  0.3750  2 Pb 2.71, 2 I 2.92
P  0.7720  0.7500  0.1250  2 Pb 2.71, 2 I 2.92
Pb  0.0000  0.0000  0.0000  4 P 2.71
Pb  0.0000  0.5000  0.2500  4 P 2.71
Pb  0.5000  0.0000  0.7500  4 P 2.71
Pb  0.5000  0.5000  0.5000  4 P 2.71
I  0.0000  0.0000  0.5000  4 P 2.92
I  0.0000  0.5000  0.7500  4 P 2.92
I  0.5000  0.0000  0.2500  4 P 2.92
I  0.5000  0.5000  0.0000  4 P 2.92